(1)
LiC after structural relaxation. Source: the Alexandria database, functional PBE-GGA.

Calculated total energy, eV/cell: -86.15
Size of the total moment, μB per formula unit: 0.00
D(E_F), states/eV/atom: 0.104
Volume, Å³ per cell: 186
Calculated density, kg/m³: 1355

a b c (Å): 8.448 8.448 2.603
angles (deg): 90.00 90.00 90.00
Element x y z (fractional)
C (0.278, 0.768, 0.500)
C (0.268, 0.222, 0.000)
C (0.722, 0.232, 0.500)
C (0.768, 0.722, 0.500)
C (0.778, 0.268, 0.000)
C (0.232, 0.278, 0.500)
C (0.732, 0.778, 0.000)
C (0.222, 0.732, 0.000)
Li (0.527, 0.210, 0.000)
Li (0.973, 0.290, 0.500)
Li (0.473, 0.790, 0.000)
Li (0.710, 0.973, 0.500)
Li (0.790, 0.527, 0.000)
Li (0.290, 0.027, 0.500)
Li (0.027, 0.710, 0.500)
Li (0.210, 0.473, 0.000)

(2)
DyHo6Tl2 after structural relaxation. Source: the Alexandria database, functional PBE-GGA.

Calculated total energy, eV/cell: -31.42
Size of the total moment, μB per formula unit: 0.00
D(E_F), states/eV/atom: 1.133
Volume, Å³ per cell: 334
Calculated density, kg/m³: 7763

a b c (Å): 5.709 5.709 11.011
angles (deg): 105.02 105.02 90.00
Element x y z (fractional)
Ho (0.742, 0.742, 0.863)
Ho (0.250, 0.750, 0.500)
Ho (0.258, 0.880, 0.137)
Ho (0.750, 0.250, 0.500)
Ho (0.120, 0.120, 0.863)
Ho (0.880, 0.258, 0.137)
Dy (0.500, 0.500, 0.000)
Tl (0.805, 0.805, 0.609)
Tl (0.195, 0.195, 0.391)